Entry 1:
A relaxed structure of GeSeSBr2. Source: the Alexandria database, functional GGA-PBEsol.

Space group: P4/mmm, No. 123
DOS(E_F), states/eV/atom: 1.035
Raw formation energy, meV/atom: 513

Cell lengths 5.0788, 5.0778, 5.0778 Å; angles 90.00, 90.00, 90.00 degrees
Closest atoms and distances in Å follow each position.
Sites, in units of the cell vectors:
S: 0.5000 0.5000 0.5000  4 Se 3.59, 8 Br 3.59
Se: 0.5000 0.0000 0.0000  2 Ge 2.54
Ge: 0.0000 0.0000 0.0000  4 Br 2.54, 2 Se 2.54
Br: 0.0000 0.0000 0.5000  2 Ge 2.54
Br: 0.0000 0.5000 0.0000  2 Ge 2.54

Entry 2:
A relaxed structure of TaGeS2Br. Source: the Alexandria database, functional GGA-PBEsol.

Space group: P4/mmm, No. 123
DOS(E_F), states/eV/atom: 1.050
Raw formation energy, meV/atom: 1446

Cell lengths 4.7473, 4.8489, 4.8489 Å; angles 90.00, 90.00, 90.00 degrees
Closest atoms and distances in Å follow each position.
Sites, in units of the cell vectors:
Ta: 0.5000 0.0000 0.0000  2 Br 2.37
Ge: 0.5000 0.5000 0.5000  8 S 3.39, 4 Ta 3.43
S: 0.0000 0.5000 0.0000  2 Br 2.42
S: 0.0000 0.0000 0.5000  2 Br 2.42
Br: 0.0000 0.0000 0.0000  2 Ta 2.37, 4 S 2.42

Entry 3:
A relaxed structure of GeWSBr2. Source: the Alexandria database, functional GGA-PBEsol.

Space group: P4/mmm, No. 123
DOS(E_F), states/eV/atom: 1.193
Raw formation energy, meV/atom: 1556

Cell lengths 4.8537, 4.8537, 4.9781 Å; angles 90.00, 90.00, 90.00 degrees
Closest atoms and distances in Å follow each position.
Sites, in units of the cell vectors:
Br: 0.0000 0.5000 0.0000  2 S 2.43
Br: 0.5000 0.0000 0.0000  2 S 2.43
W: 0.5000 0.5000 0.5000  4 Ge 3.43, 8 Br 3.48
Ge: 0.0000 0.0000 0.5000  2 S 2.49
S: 0.0000 0.0000 0.0000  4 Br 2.43, 2 Ge 2.49